(1)
Li2Ta2Sb | PBE | optimized geometry

The calculation puts the density of states at the Fermi level at 7.14 states/eV/cell. The calculation puts the total moment at 0.00 Bohr magnetons per cell. The crystal system is tetragonal. As for the distance to the lowest polymorph of the same formula: 0.0 meV/atom.

It has space group P4/mbm (No. 127), with a = 6.252 Å, b = 6.252 Å, c = 4.085 Å, α = 90.00°, β = 90.00° and γ = 90.00°. The asymmetric unit holds Li at (0.127, 0.373, 0.000), Ta at (0.166, 0.666, 0.500) and Sb at (0.000, 0.000, 0.000).



(2)
Pm6PrPt4 | PBE | optimized geometry

The calculation puts the density of states at the Fermi level at 20.83 states/eV/cell. The calculation puts the total moment at 0.00 Bohr magnetons per cell. The crystal system is tetragonal. For the uncorrected energy, the calculation gives -65.70 eV/f.u.

It has space group I-42m (No. 121), with a = 7.655 Å, b = 7.655 Å, c = 10.899 Å, α = 90.00°, β = 90.00° and γ = 90.00°. The asymmetric unit holds Pm at (0.000, 0.500, 0.000), Pm at (0.164, 0.164, 0.295), Pr at (0.000, 0.000, 0.000) and Pt at (0.201, 0.201, 0.571).



(3)
BeNi2Au | PBE | optimized geometry

The calculation puts the density of states at the Fermi level at 9.27 states/eV/cell. The calculation puts the total moment at 0.00 Bohr magnetons per cell. The crystal system is tetragonal. For the uncorrected energy, the calculation gives -18.77 eV/f.u.

It has space group I-4m2 (No. 119), with a = 3.748 Å, b = 3.748 Å, c = 6.846 Å, α = 90.00°, β = 90.00° and γ = 90.00°. The asymmetric unit holds Be at (0.000, 0.000, 0.000), Ni at (0.000, 0.000, 0.500), Ni at (0.000, 0.500, 0.750) and Au at (0.000, 0.500, 0.250).



(4)
Gd3TmH | PBE | optimized geometry

The calculation puts the density of states at the Fermi level at 5.83 states/eV/cell. The calculation puts the total moment at 21.67 Bohr magnetons per cell. The crystal system is cubic. For the uncorrected energy, the calculation gives -50.84 eV/f.u.

It has space group Pm-3m (No. 221), with a = 5.007 Å, b = 5.007 Å, c = 5.007 Å, α = 90.00°, β = 90.00° and γ = 90.00°. The asymmetric unit holds Gd at (0.000, 0.000, 0.500), Tm at (0.500, 0.500, 0.500) and H at (0.000, 0.000, 0.000).



(5)
BaPbS2O8 | PBE | optimized geometry

The calculation puts the density of states at the Fermi level at 0.00 states/eV/cell. The calculation puts the total moment at 0.00 Bohr magnetons per cell. The crystal system is monoclinic. As for the distance to the lowest polymorph of the same formula: 17.3 meV/atom.

It has space group C2/m (No. 12), with a = 9.478 Å, b = 5.479 Å, c = 7.424 Å, α = 90.00°, β = 114.17° and γ = 90.00°. The asymmetric unit holds Ba at (0.000, 0.000, 0.000), Pb at (0.000, 0.500, 0.500), S at (0.232, 0.000, 0.705), O at (0.095, 0.500, 0.215), O at (0.163, 0.000, 0.486) and O at (0.183, 0.221, 0.783).



(6)
La5Ag2Hg | PBE | optimized geometry

The calculation puts the density of states at the Fermi level at 43.19 states/eV/cell. The calculation puts the total moment at 0.00 Bohr magnetons per cell. The crystal system is tetragonal. For the uncorrected energy, the calculation gives -32.53 eV/f.u.

It has space group I4/mcm (No. 140), with a = 8.665 Å, b = 8.665 Å, c = 12.996 Å, α = 90.00°, β = 90.00° and γ = 90.00°. The asymmetric unit holds La at (0.000, 0.000, 0.000), La at (0.160, 0.340, 0.152), Ag at (0.129, 0.371, 0.500) and Hg at (0.000, 0.000, 0.250).



(7)
Ac2Cd2In3 | PBE | optimized geometry

The calculation puts the density of states at the Fermi level at 12.34 states/eV/cell. The calculation puts the total moment at 0.00 Bohr magnetons per cell. The crystal system is orthorhombic. As for the distance to the lowest polymorph of the same formula: 0.0 meV/atom.

It has space group Cmcm (No. 63), with a = 4.965 Å, b = 21.380 Å, c = 7.909 Å, α = 90.00°, β = 90.00° and γ = 90.00°. The asymmetric unit holds Ac at (0.000, 0.050, 0.250), Ac at (0.000, 0.159, 0.750), Cd at (0.000, 0.314, 0.560), In at (0.000, 0.223, 0.250) and In at (0.000, 0.439, 0.070).



(8)
ZnCrRe2 | PBE | optimized geometry

The calculation puts the density of states at the Fermi level at 2.96 states/eV/cell. The calculation puts the total moment at 0.00 Bohr magnetons per cell. The crystal system is tetragonal. For the uncorrected energy, the calculation gives -34.68 eV/f.u.

It has space group P4/mmm (No. 123), with a = 3.090 Å, b = 3.090 Å, c = 5.791 Å, α = 90.00°, β = 90.00° and γ = 90.00°. The asymmetric unit holds Zn at (0.000, 0.000, 0.000), Cr at (0.000, 0.000, 0.500) and Re at (0.500, 0.500, 0.260).



(9)
La3Y3ScSe8 | PBE | optimized geometry

The calculation puts the density of states at the Fermi level at 24.99 states/eV/cell. The calculation puts the total moment at 0.00 Bohr magnetons per cell. The crystal system is trigonal. For the uncorrected energy, the calculation gives -96.78 eV/f.u.

It has space group R-3m (No. 166, hexagonal axes), with a = 8.2597 Å, b = 8.2597 Å, c = 20.7669 Å, α = 90.00°, β = 90.00° and γ = 120.00°. The asymmetric unit holds La at (0.0000, 0.5000, 0.0000), Y at (0.0000, 0.5000, 0.5000), Sc at (0.0000, 0.0000, 0.5000), Se at (0.0000, 0.0000, 0.2443) and Se at (0.0065, 0.5032, 0.2429).



(10)
La2Y6Ho3Er | PBE | optimized geometry

The calculation puts the density of states at the Fermi level at 34.89 states/eV/cell. The calculation puts the total moment at 0.00 Bohr magnetons per cell. The crystal system is monoclinic. For the uncorrected energy, the calculation gives -66.65 eV/f.u.

It has space group C2/m (No. 12), with a = 6.212 Å, b = 10.757 Å, c = 11.861 Å, α = 90.00°, β = 100.03° and γ = 90.00°. The asymmetric unit holds La at (0.000, 0.166, 0.000), Y at (0.247, 0.500, 0.745), Y at (0.249, 0.166, 0.746), Ho at (0.000, 0.000, 0.500), Ho at (0.000, 0.334, 0.500) and Er at (0.000, 0.500, 0.000).



(11)
YCrAu2 | PBE | optimized geometry

The calculation puts the density of states at the Fermi level at 1.62 states/eV/cell. The calculation puts the total moment at 3.98 Bohr magnetons per cell. The crystal system is tetragonal. As for the distance to the lowest polymorph of the same formula: 128.2 meV/atom.

It has space group P4mm (No. 99), with a = 3.732 Å, b = 3.732 Å, c = 5.965 Å, α = 90.00°, β = 90.00° and γ = 90.00°. The asymmetric unit holds Y at (0.000, 0.000, 0.000), Cr at (0.500, 0.500, 0.680), Au at (0.000, 0.000, 0.514) and Au at (0.500, 0.500, 0.224).



(12)
Ti3PPb | PBE | optimized geometry

The calculation puts the density of states at the Fermi level at 7.32 states/eV/cell. The calculation puts the total moment at 0.85 Bohr magnetons per cell. The crystal system is cubic. As for the distance to the lowest polymorph of the same formula: 0.0 meV/atom.

It has space group Pm-3m (No. 221), with a = 4.606 Å, b = 4.606 Å, c = 4.606 Å, α = 90.00°, β = 90.00° and γ = 90.00°. The asymmetric unit holds Ti at (0.000, 0.000, 0.500), P at (0.000, 0.000, 0.000) and Pb at (0.500, 0.500, 0.500).



(13)
MnNb3Re | PBE | optimized geometry

The calculation puts the density of states at the Fermi level at 7.71 states/eV/cell. The calculation puts the total moment at 0.00 Bohr magnetons per cell. The crystal system is cubic. As for the distance to the lowest polymorph of the same formula: 0.0 meV/atom.

It has space group Pm-3m (No. 221), with a = 4.512 Å, b = 4.512 Å, c = 4.512 Å, α = 90.00°, β = 90.00° and γ = 90.00°. The asymmetric unit holds Mn at (0.000, 0.000, 0.000), Nb at (0.000, 0.000, 0.500) and Re at (0.500, 0.500, 0.500).



(14)
LaTb2TmP4 | PBE | optimized geometry

The calculation puts the density of states at the Fermi level at 0.75 states/eV/cell. The calculation puts the total moment at 0.00 Bohr magnetons per cell. The crystal system is monoclinic. For the uncorrected energy, the calculation gives -52.91 eV/f.u.

It has space group P2/m (No. 10), with a = 7.050 Å, b = 4.075 Å, c = 7.055 Å, α = 90.00°, β = 109.41° and γ = 90.00°. The asymmetric unit holds La at (0.000, 0.000, 0.000), Tb at (0.000, 0.500, 0.500), Tb at (0.500, 0.000, 0.500), Tm at (0.500, 0.500, 0.000), P at (0.257, 0.000, 0.749) and P at (0.260, 0.500, 0.257).